[1]
# CaPrSmTh

A relaxed structure of CaPrSmTh (PBE, Alexandria).

Computed properties:
ΔE_f (kcal/mol of atoms): 5.10
M_tot (μB/f.u.): 0.442

Cell lengths 8.2473, 8.2473, 8.2473 Å; angles 90.00, 90.00, 90.00 degrees
With the nearest neighbours (Å) after each atom.
Space group F-43m (No. 216)
One atom of each set of equivalent atoms:
Ca1 0.0000 0.0000 0.0000  4 Sm 3.57, 4 Pr 3.57
Pr1 0.2500 0.2500 0.7500  4 Th 3.57, 4 Ca 3.57
Sm1 0.2500 0.2500 0.2500  4 Th 3.57, 4 Ca 3.57
Th1 0.0000 0.0000 0.5000  4 Pr 3.57, 4 Sm 3.57

[2]
# Ca2PrSmTl4

A relaxed structure of Ca2PrSmTl4 (PBE, Alexandria).

Computed properties:
ΔE_f (kcal/mol of atoms): -9.11
M_tot (μB/f.u.): 0.000

Cell lengths 5.5072, 5.5072, 27.0102 Å; angles 90.00, 90.00, 120.00 degrees
With the nearest neighbours (Å) after each atom.
Space group R-3m (No. 166, hexagonal axes)
One atom of each set of equivalent atoms:
Ca1 0.0000 0.0000 0.2503  8 Tl 3.35-3.42
Pr1 0.0000 0.0000 0.5000  8 Tl 3.38-3.40
Sm1 0.0000 0.0000 0.0000  8 Tl 3.34-3.37
Tl1 0.0000 0.0000 0.1238  1 Sm 3.34, 4 Ca 3.36-3.42, 3 Pr 3.38
Tl2 0.0000 0.0000 0.3743  4 Ca 3.35-3.38, 3 Sm 3.37, 1 Pr 3.40

[3]
# CaPrSm2Tl4

A relaxed structure of CaPrSm2Tl4 (PBE, Alexandria).

Computed properties:
ΔE_f (kcal/mol of atoms): -8.98
M_tot (μB/f.u.): 0.000

Cell lengths 5.4788, 5.4788, 27.1326 Å; angles 90.00, 90.00, 120.00 degrees
With the nearest neighbours (Å) after each atom.
Space group R-3m (No. 166, hexagonal axes)
One atom of each set of equivalent atoms:
Ca1 0.0000 0.0000 0.0000  8 Tl 3.36-3.40
Pr1 0.0000 0.0000 0.5000  8 Tl 3.36-3.39
Sm1 0.0000 0.0000 0.2534  8 Tl 3.30-3.48
Tl1 0.0000 0.0000 0.1252  3 Pr 3.36, 4 Sm 3.39-3.48, 1 Ca 3.40
Tl2 0.0000 0.0000 0.3752  4 Sm 3.30-3.33, 3 Ca 3.36, 1 Pr 3.39

[4]
# CaPr6Sm2Tm

A relaxed structure of CaPr6Sm2Tm (PBE, Alexandria).

Computed properties:
ΔE_f (kcal/mol of atoms): 2.66
M_tot (μB/f.u.): 0.000

Cell lengths 9.4142, 15.6145, 9.8328 Å; angles 90.00, 96.37, 90.00 degrees
With the nearest neighbours (Å) after each atom.
Space group C2/c (No. 15)
One atom of each set of equivalent atoms:
Ca1 0.0000 0.0253 0.2500  4 Sm 3.51-3.58, 4 Pr 3.76-3.86
Pr1 0.0584 0.1882 0.9455  7 Pr 3.55-3.88, 1 Sm 3.62, 1 Ca 3.86, 1 Tm 3.96
Pr2 0.1043 0.3948 0.1174  3 Sm 3.32-3.53, 4 Pr 3.35-3.65, 2 Tm 3.51-3.64
Pr3 0.2138 0.2271 0.3147  4 Pr 3.35-3.72, 2 Sm 3.52-3.69, 1 Tm 3.55
Sm1 0.2465 0.4461 0.4546  6 Pr 3.32-3.69, 2 Ca 3.51-3.58, 1 Tm 3.67
Tm1 0.0000 0.4095 0.7500  6 Pr 3.51-3.64, 2 Sm 3.67

[5]
# Ca2PrSm2Y6

A relaxed structure of Ca2PrSm2Y6 (PBE, Alexandria).

Computed properties:
ΔE_f (kcal/mol of atoms): 3.93
M_tot (μB/f.u.): 0.000

Cell lengths 6.2005, 10.8378, 12.2522 Å; angles 90.00, 101.30, 90.00 degrees
With the nearest neighbours (Å) after each atom.
Space group C2/m (No. 12)
One atom of each set of equivalent atoms:
Ca1 0.0000 0.1645 0.0000  3 Ca 3.56-3.61, 6 Y 3.70-3.81
Pr1 0.0000 0.0000 0.5000  6 Y 3.54-3.58, 6 Sm 3.59-3.61
Sm1 0.0000 0.3329 0.5000  6 Y 3.54-3.58, 3 Sm 3.58-3.62, 3 Pr 3.59-3.61
Y1 0.2417 0.3333 0.2575  2 Sm 3.57-3.58, 1 Pr 3.58, 6 Y 3.59-3.61, 2 Ca 3.70-3.81
Y2 0.2431 0.0000 0.2617  2 Sm 3.54, 1 Pr 3.54, 6 Y 3.59-3.61, 2 Ca 3.72

[6]
# CaPrSmY

A relaxed structure of CaPrSmY (PBE, Alexandria).

Computed properties:
ΔE_f (kcal/mol of atoms): 2.76
M_tot (μB/f.u.): 0.000
Distance to the lowest polymorph of the same formula (meV/atom): 67

Cell lengths 8.2836, 8.2836, 8.2836 Å; angles 90.00, 90.00, 90.00 degrees
With the nearest neighbours (Å) after each atom.
Space group F-43m (No. 216)
One atom of each set of equivalent atoms:
Ca1 0.0000 0.0000 0.0000  4 Sm 3.59, 4 Pr 3.59
Pr1 0.2500 0.2500 0.2500  4 Ca 3.59, 4 Y 3.59
Sm1 0.2500 0.2500 0.7500  4 Y 3.59, 4 Ca 3.59
Y1 0.0000 0.0000 0.5000  4 Pr 3.59, 4 Sm 3.59

[7]
# CaPr6SmY2

A relaxed structure of CaPr6SmY2 (PBE, Alexandria).

Computed properties:
ΔE_f (kcal/mol of atoms): 2.99
M_tot (μB/f.u.): 0.000

Cell lengths 9.4071, 15.5943, 9.8959 Å; angles 90.00, 97.41, 90.00 degrees
With the nearest neighbours (Å) after each atom.
Space group C2/c (No. 15)
One atom of each set of equivalent atoms:
Ca1 0.0000 0.0965 0.2500  6 Pr 3.60-3.66, 2 Y 3.67
Pr1 0.0625 0.3279 0.4443  5 Pr 3.47-3.87, 1 Y 3.52, 2 Sm 3.73-3.83
Pr2 0.0982 0.1106 0.6197  3 Pr 3.29-3.47, 3 Y 3.39-3.57, 2 Ca 3.64-3.66
Pr3 0.2055 0.2714 0.8221  2 Pr 3.29-3.58, 1 Y 3.59, 1 Ca 3.60, 1 Sm 3.64
Sm1 0.0000 0.4674 0.7500  4 Y 3.49-3.52, 6 Pr 3.64-3.83
Y1 0.2478 0.4530 0.0472  6 Pr 3.39-3.74, 2 Sm 3.49-3.52, 1 Ca 3.67

[8]
# CaPr6Sm3Y2

A relaxed structure of CaPr6Sm3Y2 (PBE, Alexandria).

Computed properties:
ΔE_f (kcal/mol of atoms): 0.64
M_tot (μB/f.u.): 0.000

Cell lengths 6.3953, 11.0779, 12.0890 Å; angles 90.00, 100.10, 90.00 degrees
With the nearest neighbours (Å) after each atom.
Space group C2/m (No. 12)
One atom of each set of equivalent atoms:
Ca1 0.0000 0.0000 0.0000  6 Y 3.69, 6 Pr 3.70
Pr1 0.2454 0.3300 0.7490  3 Sm 3.63-3.66, 2 Y 3.65-3.66, 6 Pr 3.66-3.77, 1 Ca 3.70
Pr2 0.2447 0.5000 0.2517  3 Sm 3.62-3.66, 6 Pr 3.66-3.77, 2 Y 3.67, 1 Ca 3.70
Sm1 0.0000 0.1666 0.5000  6 Pr 3.63-3.66, 6 Sm 3.69
Sm2 0.0000 0.5000 0.5000  6 Pr 3.62-3.66, 6 Sm 3.69
Y1 0.0000 0.3332 0.0000  6 Pr 3.65-3.67, 3 Y 3.69-3.70, 3 Ca 3.69

[9]
# CaPr6Sm2Y

A relaxed structure of CaPr6Sm2Y (PBE, Alexandria).

Computed properties:
ΔE_f (kcal/mol of atoms): 2.79
M_tot (μB/f.u.): 0.000

Cell lengths 9.2809, 15.7432, 10.0190 Å; angles 90.00, 98.91, 90.00 degrees
With the nearest neighbours (Å) after each atom.
Space group C2/c (No. 15)
One atom of each set of equivalent atoms:
Ca1 0.0000 0.0976 0.2500  6 Pr 3.62-3.72, 2 Sm 3.69
Pr1 0.0575 0.3232 0.4479  5 Pr 3.46-3.86, 1 Sm 3.50, 1 Y 3.73
Pr2 0.1098 0.1059 0.6231  3 Pr 3.32-3.50, 3 Sm 3.34-3.51, 1 Ca 3.65
Pr3 0.1993 0.2726 0.8218  4 Pr 3.32-3.69, 1 Sm 3.55, 1 Ca 3.62, 1 Y 3.71
Sm1 0.2498 0.0500 0.9577  5 Pr 3.34-3.55, 2 Y 3.47-3.55, 1 Ca 3.69
Y1 0.0000 0.4759 0.7500  4 Sm 3.47-3.55, 4 Pr 3.71-3.73

[10]
# CaPr4Sm2Y2

A relaxed structure of CaPr4Sm2Y2 (PBE, Alexandria).

Computed properties:
ΔE_f (kcal/mol of atoms): 0.90
M_tot (μB/f.u.): 0.000

Cell lengths 15.6897, 5.2194, 8.1891 Å; angles 90.00, 108.81, 90.00 degrees
With the nearest neighbours (Å) after each atom.
Space group C2/m (No. 12)
One atom of each set of equivalent atoms:
Ca1 0.0000 0.0000 0.0000  6 Pr 3.71-3.73, 2 Sm 3.73, 4 Y 3.75
Pr1 0.0563 0.5000 0.3431  4 Pr 3.56-3.73, 4 Sm 3.60-3.71, 2 Ca 3.73, 2 Y 3.76-3.81
Pr2 0.2253 0.0000 0.3354  5 Pr 3.59-3.73, 3 Y 3.60-3.70, 3 Sm 3.64-3.66, 1 Ca 3.71
Sm1 0.1132 0.0000 0.6636  7 Pr 3.60-3.71, 3 Y 3.62-3.68, 1 Sm 3.70, 1 Ca 3.73
Y1 0.1713 0.5000 0.9977  2 Y 3.59, 5 Pr 3.60-3.81, 3 Sm 3.62-3.68, 2 Ca 3.75

[11]
# CaPrSmY

A relaxed structure of CaPrSmY (PBE, Alexandria).

Computed properties:
ΔE_f (kcal/mol of atoms): 1.22
M_tot (μB/f.u.): 0.002
Distance to the lowest polymorph of the same formula (meV/atom): 0

Cell lengths 3.6889, 3.6889, 10.5207 Å; angles 90.00, 90.00, 90.00 degrees
With the nearest neighbours (Å) after each atom.
Space group P4mm (No. 99)
One atom of each set of equivalent atoms:
Ca1 0.0000 0.0000 0.0000  4 Ca 3.69, 4 Y 3.78, 4 Pr 3.87
Pr1 0.5000 0.5000 0.7278  4 Sm 3.61, 4 Pr 3.69, 4 Ca 3.87
Sm1 0.0000 0.0000 0.4901  4 Y 3.56, 4 Pr 3.61, 4 Sm 3.69
Y1 0.5000 0.5000 0.2604  4 Sm 3.56, 4 Y 3.69, 4 Ca 3.78

[12]
# CaPr2Sm6Y3

A relaxed structure of CaPr2Sm6Y3 (PBE, Alexandria).

Computed properties:
ΔE_f (kcal/mol of atoms): 0.72
M_tot (μB/f.u.): 0.000

Cell lengths 6.3162, 10.9417, 12.0511 Å; angles 90.00, 100.02, 90.00 degrees
With the nearest neighbours (Å) after each atom.
Space group C2/m (No. 12)
One atom of each set of equivalent atoms:
Ca1 0.0000 0.0000 0.0000  6 Pr 3.64-3.65, 6 Sm 3.71
Pr1 0.0000 0.3330 0.0000  3 Pr 3.64-3.65, 3 Ca 3.64-3.65, 6 Sm 3.68-3.70
Sm1 0.2453 0.3311 0.7442  3 Y 3.57-3.59, 6 Sm 3.62-3.70, 2 Pr 3.68-3.69, 1 Ca 3.71
Sm2 0.2484 0.5000 0.2564  3 Y 3.56-3.58, 6 Sm 3.62-3.69, 2 Pr 3.70, 1 Ca 3.71
Y1 0.0000 0.1658 0.5000  6 Sm 3.57-3.59, 6 Y 3.63-3.66
Y2 0.0000 0.5000 0.5000  6 Sm 3.56-3.59, 6 Y 3.64-3.66

[13]
# CaPr3Sm6Y2

A relaxed structure of CaPr3Sm6Y2 (PBE, Alexandria).

Computed properties:
ΔE_f (kcal/mol of atoms): 0.99
M_tot (μB/f.u.): 0.000

Cell lengths 6.3519, 11.0073, 12.0794 Å; angles 90.00, 100.05, 90.00 degrees
With the nearest neighbours (Å) after each atom.
Space group C2/m (No. 12)
One atom of each set of equivalent atoms:
Ca1 0.0000 0.0000 0.0000  6 Sm 3.66-3.67, 6 Y 3.67
Pr1 0.0000 0.1661 0.5000  6 Sm 3.64-3.68, 6 Pr 3.66-3.68
Pr2 0.0000 0.5000 0.5000  6 Sm 3.64-3.67, 6 Pr 3.66-3.68
Sm1 0.2441 0.5000 0.2492  6 Sm 3.63-3.74, 2 Y 3.63, 3 Pr 3.64-3.67, 1 Ca 3.66
Sm2 0.2462 0.3300 0.7511  2 Y 3.62-3.63, 6 Sm 3.63-3.74, 3 Pr 3.64-3.68, 1 Ca 3.67
Y1 0.0000 0.3332 0.0000  6 Sm 3.62-3.63, 3 Y 3.67, 3 Ca 3.67

[14]
# CaPr4Sm2Y

A relaxed structure of CaPr4Sm2Y (PBE, Alexandria).

Computed properties:
ΔE_f (kcal/mol of atoms): 8.39
M_tot (μB/f.u.): 0.001

Cell lengths 14.0403, 13.5928, 6.9554 Å; angles 90.00, 119.49, 90.00 degrees
With the nearest neighbours (Å) after each atom.
Space group C2/c (No. 15)
One atom of each set of equivalent atoms:
Ca1 0.0000 0.0000 0.0000  6 Pr 3.43-3.71, 2 Ca 3.48
Pr1 0.0001 0.2520 0.0106  2 Pr 3.33-3.62, 3 Sm 3.37-3.48, 1 Ca 3.43, 2 Y 3.55-3.56
Pr2 0.2375 0.4984 0.4709  3 Sm 3.33-3.44, 1 Y 3.42, 2 Pr 3.48, 2 Ca 3.59-3.71
Sm1 0.0000 0.5000 0.0000  6 Pr 3.33-3.44, 2 Sm 3.48
Sm2 0.2500 0.2500 0.5000  6 Pr 3.38-3.48, 2 Y 3.48
Y1 0.2500 0.2500 0.0000  6 Pr 3.42-3.56, 2 Sm 3.48

[15]
# CaPrSmZn

A relaxed structure of CaPrSmZn (PBE, Alexandria).

Computed properties:
ΔE_f (kcal/mol of atoms): -2.85
M_tot (μB/f.u.): 0.000
Distance to the lowest polymorph of the same formula (meV/atom): 0

Cell lengths 3.6340, 3.6340, 9.3347 Å; angles 90.00, 90.00, 90.00 degrees
With the nearest neighbours (Å) after each atom.
Space group P4mm (No. 99)
One atom of each set of equivalent atoms:
Ca1 0.0000 0.0000 0.0000  4 Zn 3.21
Pr1 0.5000 0.5000 0.3231  4 Pr 3.63, 4 Sm 3.66, 4 Ca 3.96
Sm1 0.0000 0.0000 0.6028  4 Zn 3.13
Zn1 0.5000 0.5000 0.7946  4 Sm 3.13, 4 Ca 3.21

[16]
# CaPrSmZn

A relaxed structure of CaPrSmZn (PBE, Alexandria).

Computed properties:
ΔE_f (kcal/mol of atoms): 0.84
M_tot (μB/f.u.): 0.000
Distance to the lowest polymorph of the same formula (meV/atom): 160

Cell lengths 7.7990, 7.7990, 7.7990 Å; angles 90.00, 90.00, 90.00 degrees
With the nearest neighbours (Å) after each atom.
Space group F-43m (No. 216)
One atom of each set of equivalent atoms:
Ca1 0.0000 0.0000 0.0000  4 Pr 3.38, 4 Sm 3.38
Pr1 0.2500 0.2500 0.2500  4 Ca 3.38, 4 Zn 3.38
Sm1 0.2500 0.2500 0.7500  4 Ca 3.38, 4 Zn 3.38
Zn1 0.0000 0.0000 0.5000  4 Pr 3.38, 4 Sm 3.38

[17]
# Ca2PrSn9

A relaxed structure of Ca2PrSn9 (PBE, Alexandria).

Computed properties:
ΔE_f (kcal/mol of atoms): -9.94
M_tot (μB/f.u.): 0.000

Cell lengths 4.7701, 4.7701, 14.3199 Å; angles 90.00, 90.00, 90.00 degrees
With the nearest neighbours (Å) after each atom.
Space group P4/mmm (No. 123)
One atom of each set of equivalent atoms:
Ca1 0.0000 0.0000 0.1670  12 Sn 3.34-3.38
Pr1 0.0000 0.0000 0.5000  12 Sn 3.37-3.40
Sn1 0.0000 0.5000 0.0000  8 Sn 3.36-3.37, 4 Ca 3.38
Sn2 0.0000 0.5000 0.3303  2 Ca 3.34, 8 Sn 3.36-3.40, 2 Pr 3.40
Sn3 0.5000 0.5000 0.1650  8 Sn 3.36, 4 Ca 3.37
Sn4 0.5000 0.5000 0.5000  4 Pr 3.37, 8 Sn 3.40

[18]
# CaPr2Sn9

A relaxed structure of CaPr2Sn9 (PBE, Alexandria).

Computed properties:
ΔE_f (kcal/mol of atoms): -10.77
M_tot (μB/f.u.): 0.000

Cell lengths 4.8499, 4.8499, 13.9627 Å; angles 90.00, 90.00, 90.00 degrees
With the nearest neighbours (Å) after each atom.
Space group P4/mmm (No. 123)
One atom of each set of equivalent atoms:
Ca1 0.0000 0.0000 0.0000  12 Sn 3.33-3.43
Pr1 0.0000 0.0000 0.3353  12 Sn 3.34-3.43
Sn1 0.0000 0.5000 0.1638  8 Sn 3.33-3.43, 2 Ca 3.33, 2 Pr 3.41
Sn2 0.0000 0.5000 0.5000  4 Pr 3.34, 8 Sn 3.38-3.43
Sn3 0.5000 0.5000 0.0000  8 Sn 3.33, 4 Ca 3.43
Sn4 0.5000 0.5000 0.3314  8 Sn 3.37-3.38, 4 Pr 3.43

[19]
# Ca2Pr5Sn4

A relaxed structure of Ca2Pr5Sn4 (PBE, Alexandria).

Computed properties:
ΔE_f (kcal/mol of atoms): -9.41
M_tot (μB/f.u.): 2.395

Cell lengths 22.7498, 4.7349, 7.6449 Å; angles 90.00, 109.58, 90.00 degrees
With the nearest neighbours (Å) after each atom.
Space group C2/m (No. 12)
One atom of each set of equivalent atoms:
Ca1 0.0728 0.0000 0.0730  5 Sn 3.03-3.27, 1 Ca 3.12
Pr1 0.0000 0.0000 0.5000  4 Sn 3.22
Pr2 0.1636 0.5000 0.4261  4 Sn 3.19-3.53
Pr3 0.1638 0.5000 0.9020  4 Sn 3.19-3.53
Sn1 0.9999 0.5000 0.2141  4 Pr 3.22-3.53, 4 Ca 3.27, 1 Sn 3.28
Sn2 0.2140 0.0000 0.2143  1 Ca 3.03, 6 Pr 3.19-3.28

[20]
# CaPr5Sn5

A relaxed structure of CaPr5Sn5 (PBE, Alexandria).

Computed properties:
ΔE_f (kcal/mol of atoms): -10.14
M_tot (μB/f.u.): 0.000

Cell lengths 12.5723, 6.4172, 10.4049 Å; angles 90.00, 114.21, 90.00 degrees
With the nearest neighbours (Å) after each atom.
Space group C2/m (No. 12)
One atom of each set of equivalent atoms:
Ca1 0.0000 0.0000 0.0000  6 Sn 3.21-3.29
Pr1 0.0000 0.0000 0.5000  4 Sn 3.15-3.22
Pr2 0.1627 0.5000 0.3348  5 Sn 3.21-3.24
Pr3 0.1722 0.5000 0.8379  5 Sn 3.20-3.27
Sn1 0.0000 0.5000 0.0000  2 Ca 3.21, 4 Pr 3.24
Sn2 0.1607 0.0000 0.3342  5 Pr 3.15-3.27, 1 Ca 3.23
Sn3 0.1704 0.0000 0.8302  5 Pr 3.20-3.22, 1 Ca 3.29